No. 1
This record from Alexandria describes crystalline Ho2Al2InPd5 at its relaxed geometry. The functional is PBE-GGA.

abc: 9.952 9.952 3.722
angles: 90.00 90.00 90.00
Fractional coordinates of all 20 atoms:
Ho 0.179 0.321 0.000
Ho 0.321 0.821 0.000
Ho 0.679 0.179 0.000
Ho 0.821 0.679 0.000
Al 0.118 0.618 0.000
Al 0.382 0.118 0.000
Al 0.618 0.882 0.000
Al 0.882 0.382 0.000
In 0.000 0.000 0.000
In 0.500 0.500 0.000
Pd 0.000 0.500 0.500
Pd 0.066 0.786 0.500
Pd 0.214 0.066 0.500
Pd 0.286 0.566 0.500
Pd 0.434 0.286 0.500
Pd 0.500 0.000 0.500
Pd 0.566 0.714 0.500
Pd 0.714 0.434 0.500
Pd 0.786 0.934 0.500
Pd 0.934 0.214 0.500

Values from the calculation:
crystal system	tetragonal
ΔE_f	-749	kJ/mol of formula units
space group	P4/mbm (127)
DOS(E_F)	13.8	states/eV/cell
magnetization	0.00	μB per atom



No. 2
This record from Alexandria describes crystalline HoAlIn2Pd4 at its relaxed geometry. The functional is PBE-GGA.

abc: 8.055 8.055 8.055
angles: 33.76 33.76 33.76
Fractional coordinates of all 8 atoms:
Ho 0.000 0.000 0.000
Al 0.500 0.500 0.500
In 0.252 0.252 0.252
In 0.748 0.748 0.748
Pd 0.131 0.131 0.131
Pd 0.388 0.388 0.388
Pd 0.612 0.612 0.612
Pd 0.869 0.869 0.869

Values from the calculation:
crystal system	trigonal
ΔE_f	-557	kJ/mol of formula units
space group	R-3m (166)
DOS(E_F)	2.3	states/eV/cell
magnetization	0.00	μB per atom



> Number 1 is which compound?

Ho2Al2InPd5



> Number 2 is which compound?

HoAlIn2Pd4